Record 1
Material: CePm2Zn9
Method: DFT, PBE
State: optimized geometry

Lattice parameters (Å, degrees): 9.2927 9.2927 9.2927 34.41 34.41 34.41
With the nearest neighbours (Å) after each atom.
Element x y z (fractional)
Ce (0.0000, 0.0000, 0.0000)  18 Zn 3.17-3.48
Pm (0.1410, 0.1410, 0.1410)  12 Zn 3.16-3.30, 3 Pm 3.45
Pm (0.8590, 0.8590, 0.8590)  12 Zn 3.16-3.30, 3 Pm 3.45
Zn (0.0769, 0.5838, 0.5838)  7 Zn 2.64-2.79
Zn (0.3348, 0.3348, 0.3348)  6 Zn 2.64-2.68
Zn (0.4162, 0.4162, 0.9231)  7 Zn 2.64-2.79
Zn (0.4162, 0.9231, 0.4162)  7 Zn 2.64-2.79
Zn (0.5000, 0.5000, 0.5000)  6 Zn 2.75
Zn (0.5838, 0.0769, 0.5838)  7 Zn 2.64-2.79
Zn (0.5838, 0.5838, 0.0769)  7 Zn 2.64-2.79
Zn (0.6652, 0.6652, 0.6652)  6 Zn 2.64-2.68
Zn (0.9231, 0.4162, 0.4162)  7 Zn 2.64-2.79

E_tot ... -2.527 eV/atom
ρ ... 7.401 Mg/m³
Formation enthalpy at 0 K ... -285 meV/atom
D(E_F) ... 11.5 states/eV/f.u.
M_tot ... 0.652 μB/f.u.

=====

Record 2
Material: LiSnB
Method: DFT, PBE
State: optimized geometry

Lattice parameters (Å, degrees): 6.8645 6.8645 6.0201 109.78 109.78 113.21
With the nearest neighbours (Å) after each atom.
Element x y z (fractional)
Li (0.2344, 0.2344, 0.0059)  3 B 2.37-2.60
Li (0.4677, 0.0569, 0.4301)  3 B 2.29-2.46
Li (0.7656, 0.7656, 0.9941)  3 B 2.37-2.60
Li (0.9431, 0.5323, 0.5699)  3 B 2.29-2.46
Sn (0.0491, 0.5451, 0.1113)  2 B 2.36-2.39
Sn (0.2148, 0.3013, 0.4947)  3 B 2.36-2.53
Sn (0.4549, 0.9509, 0.8887)  2 B 2.36-2.39
Sn (0.6987, 0.7852, 0.5053)  3 B 2.36-2.53
B (0.5048, 0.2943, 0.8364)  1 B 1.58
B (0.7057, 0.4952, 0.1636)  1 B 1.58
B (0.7697, 0.0800, 0.3319)  1 B 1.60
B (0.9200, 0.2303, 0.6681)  1 B 1.60

Relative energy among the computed polymorphs ... 333 meV per atom
E_tot ... -3.955 eV/atom
ρ ... 4.408 Mg/m³
Formation enthalpy at 0 K ... 243 meV/atom
D(E_F) ... 0.5 states/eV/f.u.
M_tot ... 0.000 μB/f.u.

=====

Record 3
Material: Nd2SmHoBi4
Method: DFT, PBE
State: optimized geometry

Lattice parameters (Å, degrees): 7.8956 4.5636 7.8992 90.00 109.48 90.00
With the nearest neighbours (Å) after each atom.
Element x y z (fractional)
Nd (0.0000, 0.0000, 0.0000)  6 Bi 3.24
Nd (0.0000, 0.5000, 0.5000)  6 Bi 3.27
Sm (0.5000, 0.0000, 0.5000)  6 Bi 3.21
Ho (0.5000, 0.5000, 0.0000)  6 Bi 3.18
Bi (0.2555, 0.5000, 0.2488)  1 Ho 3.18, 2 Sm 3.21, 3 Nd 3.24-3.27
Bi (0.2576, 0.0000, 0.7555)  2 Ho 3.18, 1 Sm 3.21, 3 Nd 3.24-3.27
Bi (0.7424, 0.0000, 0.2445)  2 Ho 3.18, 1 Sm 3.21, 3 Nd 3.24-3.27
Bi (0.7445, 0.5000, 0.7512)  1 Ho 3.18, 2 Sm 3.21, 3 Nd 3.24-3.27

E_tot ... -5.207 eV/atom
ρ ... 8.909 Mg/m³
Formation enthalpy at 0 K ... -912 meV/atom
D(E_F) ... 1.2 states/eV/f.u.
M_tot ... 0.000 μB/f.u.